First-principles (PBE) data for an optimized crystal structure of SrInMo, as listed in the Alexandria database.

The structure in extended XYZ format:
```
3
Lattice="-1.672 2.025 5.739 1.672 -2.025 5.739 1.672 2.025 -5.739" Properties=species:S:1:pos:R:3 pbc="T T T"
Sr 0.000 0.000 0.000
In 0.000 0.000 8.180
Mo 0.000 0.000 3.453
```

space group	No. 44

First-principles (PBE) data for an optimized crystal structure of SrIn2Mo, as listed in the Alexandria database.

The structure in extended XYZ format:
```
4
Lattice="3.123 0.000 0.000 0.000 4.662 0.000 0.000 0.000 6.942" Properties=species:S:1:pos:R:3 pbc="T T T"
Sr 0.000 0.000 0.000
In 0.000 2.331 4.454
In 1.561 2.331 1.839
Mo 1.561 0.000 3.652
```

space group	No. 25

First-principles (PBE) data for an optimized crystal structure of Sr2InMo2, as listed in the Alexandria database.

The structure in extended XYZ format:
```
10
Lattice="7.364 0.000 0.000 0.000 7.364 0.000 0.000 0.000 5.139" Properties=species:S:1:pos:R:3 pbc="T T T"
Sr 1.352 2.330 0.000
Sr 2.330 6.012 0.000
Sr 5.035 1.352 0.000
Sr 6.012 5.035 0.000
In 0.000 0.000 2.570
In 3.682 3.682 2.570
Mo 0.777 4.460 2.570
Mo 2.905 0.777 2.570
Mo 4.460 6.587 2.570
Mo 6.587 2.905 2.570
```

space group	No. 127

Number 1: polymorph energy (0 for the lowest one) 0.0 meV/atom, uncorrected energy -4.52 eV per atom, energy of formation from the pure elements 563 meV per atom. Number 2: polymorph energy (0 for the lowest one) 135.7 meV/atom, uncorrected energy -4.17 eV per atom, energy of formation from the pure elements 323 meV per atom. Number 3: polymorph energy (0 for the lowest one) 0.0 meV/atom, uncorrected energy -5.04 eV per atom, energy of formation from the pure elements 512 meV per atom.